Entry A
Compound: Zr2BiS2
Source: Alexandria
Functional: GGA-PBE
Structure: relaxed

a b c (Å): 7.8329 7.8329 3.3213
angles (deg): 90.00 90.00 90.00
Sites, in units of the cell vectors:
Zr: 0.1426 0.3574 0.0000
Zr: 0.3574 0.8574 0.0000
Zr: 0.6426 0.1426 0.0000
Zr: 0.8574 0.6426 0.0000
Bi: 0.0000 0.0000 0.0000
Bi: 0.5000 0.5000 0.0000
S: 0.1319 0.6319 0.5000
S: 0.3681 0.1319 0.5000
S: 0.6319 0.8681 0.5000
S: 0.8681 0.3681 0.5000

Computed properties:
- M_tot (μB per atom) = 0.000
- space group = P4/mbm, No. 127
- volume (A^3/atom) = 20.38
- N(E_F) (states/eV per cell) = 3.4

***

Entry B
Compound: Zr2BiS2
Source: Alexandria
Functional: GGA-PBE
Structure: relaxed

a b c (Å): 4.7746 4.7746 9.8593
angles (deg): 90.00 90.00 90.00
Sites, in units of the cell vectors:
Zr: 0.0000 0.5000 0.2500
Zr: 0.0000 0.5000 0.7500
Zr: 0.5000 0.0000 0.2500
Zr: 0.5000 0.0000 0.7500
Bi: 0.0000 0.0000 0.0000
Bi: 0.5000 0.5000 0.5000
S: 0.0000 0.0000 0.3451
S: 0.0000 0.0000 0.6549
S: 0.5000 0.5000 0.1549
S: 0.5000 0.5000 0.8451

Computed properties:
- M_tot (μB per atom) = 0.000
- space group = I4/mmm, No. 139
- volume (A^3/atom) = 22.48
- N(E_F) (states/eV per cell) = 6.8

***

Entry C
Compound: Zr2BiS2
Source: Alexandria
Functional: GGA-PBE
Structure: relaxed

a b c (Å): 7.8641 7.8641 3.2086
angles (deg): 90.00 90.00 90.00
Sites, in units of the cell vectors:
Zr: 0.1557 0.3443 0.0000
Zr: 0.3443 0.8443 0.0000
Zr: 0.6557 0.1557 0.0000
Zr: 0.8443 0.6557 0.0000
Bi: 0.0000 0.0000 0.5000
Bi: 0.5000 0.5000 0.5000
S: 0.1288 0.6288 0.5000
S: 0.3712 0.1288 0.5000
S: 0.6288 0.8712 0.5000
S: 0.8712 0.3712 0.5000

Computed properties:
- M_tot (μB per atom) = 0.000
- space group = P4/mbm, No. 127
- volume (A^3/atom) = 19.84
- N(E_F) (states/eV per cell) = 8.7

***

Which is most stable? The ranking, best first, is entry B, entry A, entry C.

***

Entry A
Compound: Bi2Sb3
Source: Alexandria
Functional: GGA-PBE
Structure: relaxed

a b c (Å): 3.9482 3.9482 19.1220
angles (deg): 90.00 90.00 90.00
Sites, in units of the cell vectors:
Bi: 0.0000 0.0000 0.0907
Bi: 0.0000 0.0000 0.9093
Bi: 0.5000 0.5000 0.4093
Bi: 0.5000 0.5000 0.5907
Sb: 0.0000 0.0000 0.2847
Sb: 0.0000 0.0000 0.5000
Sb: 0.0000 0.0000 0.7153
Sb: 0.5000 0.5000 0.0000
Sb: 0.5000 0.5000 0.2153
Sb: 0.5000 0.5000 0.7847

Computed properties:
- M_tot (μB per atom) = 0.000
- space group = I4/mmm, No. 139
- volume (A^3/atom) = 29.81
- N(E_F) (states/eV per cell) = 4.6

***

Entry B
Compound: Bi2Sb3
Source: Alexandria
Functional: GGA-PBE
Structure: relaxed

a b c (Å): 8.8232 8.8232 8.8232
angles (deg): 51.28 51.28 51.28
Sites, in units of the cell vectors:
Bi: 0.1371 0.1371 0.1371
Bi: 0.3629 0.3629 0.3629
Bi: 0.6371 0.6371 0.6371
Bi: 0.8629 0.8629 0.8629
Sb: 0.0105 0.2500 0.4895
Sb: 0.2500 0.4895 0.0105
Sb: 0.4895 0.0105 0.2500
Sb: 0.5105 0.9895 0.7500
Sb: 0.7500 0.5105 0.9895
Sb: 0.9895 0.7500 0.5105

Computed properties:
- M_tot (μB per atom) = 0.000
- space group = R-3c, No. 167
- volume (A^3/atom) = 38.60
- N(E_F) (states/eV per cell) = 6.3

***

Which is most stable? The ranking, best first, is entry A, entry B.

***

Entry A
Compound: Sc2BiSb2
Source: Alexandria
Functional: GGA-PBE
Structure: relaxed

a b c (Å): 4.1861 4.1861 15.1796
angles (deg): 90.00 90.00 90.00
Sites, in units of the cell vectors:
Sc: 0.0000 0.0000 0.1049
Sc: 0.0000 0.0000 0.8951
Sc: 0.5000 0.5000 0.3951
Sc: 0.5000 0.5000 0.6049
Bi: 0.0000 0.0000 0.5000
Bi: 0.5000 0.5000 0.0000
Sb: 0.0000 0.5000 0.2500
Sb: 0.0000 0.5000 0.7500
Sb: 0.5000 0.0000 0.2500
Sb: 0.5000 0.0000 0.7500

Computed properties:
- M_tot (μB per atom) = 0.050
- space group = I4/mmm, No. 139
- volume (A^3/atom) = 26.60
- N(E_F) (states/eV per cell) = 4.9

***

Entry B
Compound: Sc2BiSb2
Source: Alexandria
Functional: GGA-PBE
Structure: relaxed

a b c (Å): 7.9623 7.9623 3.9899
angles (deg): 90.00 90.00 90.00
Sites, in units of the cell vectors:
Sc: 0.1503 0.3497 0.0000
Sc: 0.3497 0.8497 0.0000
Sc: 0.6503 0.1503 0.0000
Sc: 0.8497 0.6503 0.0000
Bi: 0.0000 0.0000 0.0000
Bi: 0.5000 0.5000 0.0000
Sb: 0.1534 0.6534 0.5000
Sb: 0.3466 0.1534 0.5000
Sb: 0.6534 0.8466 0.5000
Sb: 0.8466 0.3466 0.5000

Computed properties:
- M_tot (μB per atom) = 0.000
- space group = P4/mbm, No. 127
- volume (A^3/atom) = 25.30
- N(E_F) (states/eV per cell) = 4.3

***

Which is most stable? The ranking, best first, is entry B, entry A.

***

Entry A
Compound: ScBi3Sb
Source: Alexandria
Functional: GGA-PBE
Structure: relaxed

a b c (Å): 5.5896 5.5896 5.5896
angles (deg): 90.00 90.00 90.00
Sites, in units of the cell vectors:
Sc: 0.0000 0.0000 0.0000
Bi: 0.0000 0.0000 0.5000
Bi: 0.0000 0.5000 0.0000
Bi: 0.5000 0.0000 0.0000
Sb: 0.5000 0.5000 0.5000

Computed properties:
- M_tot (μB per atom) = 0.000
- space group = Pm-3m, No. 221
- volume (A^3/atom) = 34.93
- N(E_F) (states/eV per cell) = 5.1

***

Entry B
Compound: ScBi3Sb
Source: Alexandria
Functional: GGA-PBE
Structure: relaxed

a b c (Å): 5.7622 5.7622 5.7622
angles (deg): 90.00 90.00 90.00
Sites, in units of the cell vectors:
Sc: 0.0000 0.0000 0.0000
Bi: 0.0000 0.5000 0.5000
Bi: 0.5000 0.0000 0.5000
Bi: 0.5000 0.5000 0.0000
Sb: 0.5000 0.5000 0.5000

Computed properties:
- M_tot (μB per atom) = 0.000
- space group = Pm-3m, No. 221
- volume (A^3/atom) = 38.26
- N(E_F) (states/eV per cell) = 5.1

***

Which is most stable? The ranking, best first, is entry A, entry B.

***

Entry A
Compound: Sc2BiSb
Source: Alexandria
Functional: GGA-PBE
Structure: relaxed

a b c (Å): 4.2062 4.2062 21.1716
angles (deg): 90.00 90.00 120.00
Sites, in units of the cell vectors:
Sc: 0.0000 0.0000 0.0000
Sc: 0.0000 0.0000 0.1750
Sc: 0.3333 0.6667 0.6667
Sc: 0.3333 0.6667 0.8417
Sc: 0.6667 0.3333 0.3333
Sc: 0.6667 0.3333 0.5083
Bi: 0.0000 0.0000 0.7557
Bi: 0.3333 0.6667 0.4224
Bi: 0.6667 0.3333 0.0891
Sb: 0.0000 0.0000 0.5850
Sb: 0.3333 0.6667 0.2516
Sb: 0.6667 0.3333 0.9183

Computed properties:
- M_tot (μB per atom) = 0.000
- space group = R3m, No. 160
- volume (A^3/atom) = 27.03
- N(E_F) (states/eV per cell) = 2.9

***

Entry B
Compound: Sc2BiSb
Source: Alexandria
Functional: GGA-PBE
Structure: relaxed

a b c (Å): 6.7816 6.7816 12.9069
angles (deg): 90.00 90.00 90.00
Sites, in units of the cell vectors:
Sc: 0.2419 0.2500 0.1250
Sc: 0.2500 0.7419 0.3750
Sc: 0.2500 0.7581 0.8750
Sc: 0.2581 0.2500 0.6250
Sc: 0.7419 0.7500 0.6250
Sc: 0.7500 0.2419 0.8750
Sc: 0.7500 0.2581 0.3750
Sc: 0.7581 0.7500 0.1250
Bi: 0.0000 0.0000 0.5000
Bi: 0.0000 0.5000 0.7500
Bi: 0.5000 0.0000 0.2500
Bi: 0.5000 0.5000 0.0000
Sb: 0.0000 0.0000 0.0000
Sb: 0.0000 0.5000 0.2500
Sb: 0.5000 0.0000 0.7500
Sb: 0.5000 0.5000 0.5000

Computed properties:
- M_tot (μB per atom) = 0.000
- space group = I-42d, No. 122
- volume (A^3/atom) = 37.10
- N(E_F) (states/eV per cell) = 0.0

***

Which is most stable? The ranking, best first, is entry A, entry B.

***

Entry A
Compound: Sc2BiSb
Source: Alexandria
Functional: GGA-PBE
Structure: relaxed

a b c (Å): 7.2887 4.2092 7.3174
angles (deg): 90.00 109.46 90.00
Sites, in units of the cell vectors:
Sc: 0.2475 0.0000 0.2421
Sc: 0.2525 0.5000 0.7579
Sc: 0.7475 0.5000 0.2421
Sc: 0.7525 0.0000 0.7579
Bi: 0.0000 0.0000 0.5000
Bi: 0.5000 0.5000 0.5000
Sb: 0.0000 0.5000 0.0000
Sb: 0.5000 0.0000 0.0000

Computed properties:
- M_tot (μB per atom) = 0.000
- space group = C2/m, No. 12
- volume (A^3/atom) = 26.46
- N(E_F) (states/eV per cell) = 1.8

***

Entry B
Compound: Sc2BiSb
Source: Alexandria
Functional: GGA-PBE
Structure: relaxed

a b c (Å): 7.3466 7.3466 7.3466
angles (deg): 90.00 90.00 90.00
Sites, in units of the cell vectors:
Sc: 0.2500 0.2500 0.2500
Sc: 0.2500 0.2500 0.7500
Sc: 0.2500 0.7500 0.2500
Sc: 0.2500 0.7500 0.7500
Sc: 0.7500 0.2500 0.2500
Sc: 0.7500 0.2500 0.7500
Sc: 0.7500 0.7500 0.2500
Sc: 0.7500 0.7500 0.7500
Bi: 0.0000 0.0000 0.0000
Bi: 0.0000 0.5000 0.5000
Bi: 0.5000 0.0000 0.5000
Bi: 0.5000 0.5000 0.0000
Sb: 0.0000 0.0000 0.5000
Sb: 0.0000 0.5000 0.0000
Sb: 0.5000 0.0000 0.0000
Sb: 0.5000 0.5000 0.5000

Computed properties:
- M_tot (μB per atom) = 0.000
- space group = Fm-3m, No. 225
- volume (A^3/atom) = 24.78
- N(E_F) (states/eV per cell) = 16.3

***

Entry C
Compound: Sc2BiSb
Source: Alexandria
Functional: GGA-PBE
Structure: relaxed

a b c (Å): 8.4463 7.3025 7.0082
angles (deg): 90.00 90.00 90.00
Sites, in units of the cell vectors:
Sc: 0.1176 0.2500 0.0000
Sc: 0.1176 0.2500 0.5000
Sc: 0.3674 0.7500 0.0000
Sc: 0.3674 0.7500 0.5000
Sc: 0.6326 0.2500 0.0000
Sc: 0.6326 0.2500 0.5000
Sc: 0.8824 0.7500 0.0000
Sc: 0.8824 0.7500 0.5000
Bi: 0.3751 0.0870 0.2500
Bi: 0.3751 0.4130 0.7500
Bi: 0.6249 0.5870 0.2500
Bi: 0.6249 0.9130 0.7500
Sb: 0.1250 0.5802 0.2500
Sb: 0.1250 0.9198 0.7500
Sb: 0.8750 0.0802 0.2500
Sb: 0.8750 0.4198 0.7500

Computed properties:
- M_tot (μB per atom) = 0.000
- space group = Pbcm, No. 57
- volume (A^3/atom) = 27.02
- N(E_F) (states/eV per cell) = 3.9

***

Which is most stable? The ranking, best first, is entry C, entry A, entry B.